1.
DFT (GGA-PBE) results for a relaxed structure of CdRu3N.

Uncorrected formation energy ... 3.39 eV per atom
Uncorrected energy ... -20.14 eV/f.u.
Energy above the lowest structure with this stoichiometry ... 3149 meV/atom

a = 4.9937 Å, b = 4.9937 Å, c = 4.9937 Å
α = 90.00°, β = 90.00°, γ = 90.00°
Fractional coordinates of all 5 atoms:
1 N 0.5000 0.5000 0.5000
2 Ru 0.5000 0.0000 0.0000
3 Ru 0.0000 0.0000 0.5000
4 Ru 0.0000 0.5000 0.0000
5 Cd 0.0000 0.0000 0.0000

2.
DFT (GGA-PBE) results for a relaxed structure of CdRu3N.

Uncorrected formation energy ... 0.24 eV per atom
Uncorrected energy ... -35.88 eV/f.u.
Energy above the lowest structure with this stoichiometry ... 0 meV/atom

a = 4.0928 Å, b = 4.0928 Å, c = 4.0928 Å
α = 90.00°, β = 90.00°, γ = 90.00°
Fractional coordinates of all 5 atoms:
1 Ru 0.0000 0.5000 0.0000
2 Ru 0.0000 0.0000 0.5000
3 Ru 0.5000 0.0000 0.0000
4 Cd 0.5000 0.5000 0.5000
5 N 0.0000 0.0000 0.0000

3.
DFT (GGA-PBE) results for a relaxed structure of Cd3RuN.

Uncorrected formation energy ... 0.89 eV per atom
Uncorrected energy ... -15.89 eV/f.u.
Energy above the lowest structure with this stoichiometry ... 0 meV/atom

a = 4.4935 Å, b = 4.4935 Å, c = 4.4935 Å
α = 90.00°, β = 90.00°, γ = 90.00°
Fractional coordinates of all 5 atoms:
1 Ru 0.5000 0.5000 0.5000
2 Cd 0.5000 0.0000 0.0000
3 Cd 0.0000 0.0000 0.5000
4 Cd 0.0000 0.5000 0.0000
5 N 0.0000 0.0000 0.0000

4.
DFT (GGA-PBE) results for a relaxed structure of CdRuSe2N.

Uncorrected formation energy ... 1.74 eV per atom
Uncorrected energy ... -16.79 eV/f.u.
Energy above the lowest structure with this stoichiometry ... 1492 meV/atom

a = 5.2271 Å, b = 5.2271 Å, c = 4.0007 Å
α = 90.00°, β = 90.00°, γ = 90.00°
Fractional coordinates of all 5 atoms:
1 Se 0.5000 0.0000 0.0000
2 Se 0.0000 0.5000 0.0000
3 N 0.0000 0.0000 0.5000
4 Cd 0.0000 0.0000 0.0000
5 Ru 0.5000 0.5000 0.5000

5.
DFT (GGA-PBE) results for a relaxed structure of CdRuSe2N.

Uncorrected formation energy ... 0.25 eV per atom
Uncorrected energy ... -24.25 eV/f.u.
Energy above the lowest structure with this stoichiometry ... 0 meV/atom

a = 5.1836 Å, b = 5.1836 Å, c = 3.6497 Å
α = 90.00°, β = 90.00°, γ = 90.00°
Fractional coordinates of all 5 atoms:
1 Se 0.5000 0.0000 0.0000
2 Se 0.0000 0.5000 0.0000
3 Ru 0.0000 0.0000 0.0000
4 Cd 0.5000 0.5000 0.5000
5 N 0.0000 0.0000 0.5000

6.
DFT (GGA-PBE) results for a relaxed structure of CdTeRuN2.

Uncorrected formation energy ... 2.15 eV per atom
Uncorrected energy ... -19.23 eV/f.u.
Energy above the lowest structure with this stoichiometry ... 1413 meV/atom

a = 4.1355 Å, b = 4.1355 Å, c = 6.4599 Å
α = 90.00°, β = 90.00°, γ = 90.00°
Fractional coordinates of all 5 atoms:
1 N 0.5000 0.0000 0.0000
2 N 0.0000 0.5000 0.0000
3 Cd 0.0000 0.0000 0.0000
4 Ru 0.5000 0.5000 0.5000
5 Te 0.0000 0.0000 0.5000

7.
DFT (GGA-PBE) results for a relaxed structure of CdTeRuN2.

Uncorrected formation energy ... 0.74 eV per atom
Uncorrected energy ... -26.30 eV/f.u.
Energy above the lowest structure with this stoichiometry ... 0 meV/atom

a = 3.9245 Å, b = 3.9245 Å, c = 5.7544 Å
α = 90.00°, β = 90.00°, γ = 90.00°
Fractional coordinates of all 5 atoms:
1 N 0.5000 0.0000 0.0000
2 N 0.0000 0.5000 0.0000
3 Cd 0.5000 0.5000 0.5000
4 Ru 0.0000 0.0000 0.0000
5 Te 0.0000 0.0000 0.5000

8.
DFT (GGA-PBE) results for a relaxed structure of TiCdRu2N.

Uncorrected formation energy ... -0.26 eV per atom
Uncorrected energy ... -36.97 eV/f.u.

a = 4.1342 Å, b = 4.0587 Å, c = 4.1342 Å
α = 90.00°, β = 90.00°, γ = 90.00°
Fractional coordinates of all 5 atoms:
1 Ti 0.0000 0.5000 0.0000
2 Cd 0.5000 0.5000 0.5000
3 N 0.0000 0.0000 0.0000
4 Ru 0.0000 0.0000 0.5000
5 Ru 0.5000 0.0000 0.0000

9.
DFT (GGA-PBE) results for a relaxed structure of CdSN3.

Uncorrected formation energy ... 1.77 eV per atom
Uncorrected energy ... -21.18 eV/f.u.

a = 3.6655 Å, b = 3.6655 Å, c = 3.6655 Å
α = 90.00°, β = 90.00°, γ = 90.00°
Fractional coordinates of all 5 atoms:
1 S 0.0000 0.0000 0.0000
2 N 0.0000 0.5000 0.0000
3 N 0.0000 0.0000 0.5000
4 N 0.5000 0.0000 0.0000
5 Cd 0.5000 0.5000 0.5000

10.
DFT (GGA-PBE) results for a relaxed structure of CdSN3.

Uncorrected formation energy ... 2.85 eV per atom
Uncorrected energy ... -15.78 eV/f.u.

a = 4.2865 Å, b = 4.2865 Å, c = 4.2865 Å
α = 90.00°, β = 90.00°, γ = 90.00°
Fractional coordinates of all 5 atoms:
1 S 0.5000 0.5000 0.5000
2 N 0.0000 0.0000 0.5000
3 N 0.5000 0.0000 0.0000
4 N 0.0000 0.5000 0.0000
5 Cd 0.0000 0.0000 0.0000

11.
DFT (GGA-PBE) results for a relaxed structure of Cd2SN.

Uncorrected formation energy ... 0.28 eV per atom
Uncorrected energy ... -13.17 eV/f.u.
Energy above the lowest structure with this stoichiometry ... 0 meV/atom

a = 5.5991 Å, b = 5.5991 Å, c = 6.6354 Å
α = 65.04°, β = 65.04°, γ = 90.00°
Fractional coordinates of all 8 atoms:
1 Cd 0.3750 0.4339 0.7500
2 Cd 0.8750 0.8161 0.7500
3 Cd 0.5661 0.1250 0.2500
4 Cd 0.1839 0.6250 0.2500
5 S 0.0000 0.0000 0.0000
6 S 0.7500 0.2500 0.5000
7 N 0.5000 0.5000 0.0000
8 N 0.2500 0.7500 0.5000

12.
DFT (GGA-PBE) results for a relaxed structure of Cd2SN.

Uncorrected formation energy ... 0.83 eV per atom
Uncorrected energy ... -10.97 eV/f.u.
Energy above the lowest structure with this stoichiometry ... 551 meV/atom

a = 4.5505 Å, b = 4.5505 Å, c = 4.5505 Å
α = 60.00°, β = 60.00°, γ = 60.00°
Fractional coordinates of all 4 atoms:
1 N 0.0000 0.0000 0.0000
2 Cd 0.7500 0.7500 0.7500
3 Cd 0.2500 0.2500 0.2500
4 S 0.5000 0.5000 0.5000

13.
DFT (GGA-PBE) results for a relaxed structure of CdS3N.

Uncorrected formation energy ... 0.96 eV per atom
Uncorrected energy ... -16.84 eV/f.u.
Energy above the lowest structure with this stoichiometry ... 0 meV/atom

a = 4.2370 Å, b = 4.2370 Å, c = 4.2370 Å
α = 90.00°, β = 90.00°, γ = 90.00°
Fractional coordinates of all 5 atoms:
1 S 0.0000 0.5000 0.0000
2 S 0.5000 0.0000 0.0000
3 S 0.0000 0.0000 0.5000
4 Cd 0.5000 0.5000 0.5000
5 N 0.0000 0.0000 0.0000

14.
DFT (GGA-PBE) results for a relaxed structure of Cd3SN.

Uncorrected formation energy ... 0.26 eV per atom
Uncorrected energy ... -13.87 eV/f.u.
Energy above the lowest structure with this stoichiometry ... 0 meV/atom

a = 4.6127 Å, b = 4.6127 Å, c = 4.6127 Å
α = 90.00°, β = 90.00°, γ = 90.00°
Fractional coordinates of all 5 atoms:
1 Cd 0.0000 0.0000 0.5000
2 Cd 0.0000 0.5000 0.0000
3 Cd 0.5000 0.0000 0.0000
4 S 0.5000 0.5000 0.5000
5 N 0.0000 0.0000 0.0000

15.
DFT (GGA-PBE) results for a relaxed structure of CdS3N.

Uncorrected formation energy ... 1.83 eV per atom
Uncorrected energy ... -12.48 eV/f.u.
Energy above the lowest structure with this stoichiometry ... 871 meV/atom

a = 5.1675 Å, b = 5.1675 Å, c = 5.1675 Å
α = 90.00°, β = 90.00°, γ = 90.00°
Fractional coordinates of all 5 atoms:
1 S 0.0000 0.5000 0.0000
2 S 0.0000 0.0000 0.5000
3 S 0.5000 0.0000 0.0000
4 N 0.5000 0.5000 0.5000
5 Cd 0.0000 0.0000 0.0000

16.
DFT (GGA-PBE) results for a relaxed structure of CdSbS2N.

Uncorrected formation energy ... 1.02 eV per atom
Uncorrected energy ... -16.51 eV/f.u.
Energy above the lowest structure with this stoichiometry ... 388 meV/atom

a = 5.1373 Å, b = 5.1373 Å, c = 4.1245 Å
α = 90.00°, β = 90.00°, γ = 90.00°
Fractional coordinates of all 5 atoms:
1 Cd 0.0000 0.0000 0.0000
2 N 0.0000 0.0000 0.5000
3 S 0.0000 0.5000 0.0000
4 S 0.5000 0.0000 0.0000
5 Sb 0.5000 0.5000 0.5000

17.
DFT (GGA-PBE) results for a relaxed structure of CdSbSN2.

Uncorrected formation energy ... 0.99 eV per atom
Uncorrected energy ... -20.88 eV/f.u.
Energy above the lowest structure with this stoichiometry ... 0 meV/atom

a = 3.9811 Å, b = 3.9811 Å, c = 5.5571 Å
α = 90.00°, β = 90.00°, γ = 90.00°
Fractional coordinates of all 5 atoms:
1 Cd 0.5000 0.5000 0.5000
2 N 0.5000 0.0000 0.0000
3 N 0.0000 0.5000 0.0000
4 Sb 0.0000 0.0000 0.0000
5 S 0.0000 0.0000 0.5000

18.
DFT (GGA-PBE) results for a relaxed structure of CdSbS2N.

Uncorrected formation energy ... 0.63 eV per atom
Uncorrected energy ... -18.45 eV/f.u.
Energy above the lowest structure with this stoichiometry ... 0 meV/atom

a = 5.1262 Å, b = 5.1262 Å, c = 3.9072 Å
α = 90.00°, β = 90.00°, γ = 90.00°
Fractional coordinates of all 5 atoms:
1 S 0.0000 0.5000 0.0000
2 S 0.5000 0.0000 0.0000
3 N 0.0000 0.0000 0.5000
4 Sb 0.0000 0.0000 0.0000
5 Cd 0.5000 0.5000 0.5000

19.
DFT (GGA-PBE) results for a relaxed structure of CdSbSN2.

Uncorrected formation energy ... 1.63 eV per atom
Uncorrected energy ... -17.68 eV/f.u.
Energy above the lowest structure with this stoichiometry ... 641 meV/atom

a = 4.2566 Å, b = 4.2566 Å, c = 5.3826 Å
α = 90.00°, β = 90.00°, γ = 90.00°
Fractional coordinates of all 5 atoms:
1 S 0.0000 0.0000 0.5000
2 Sb 0.5000 0.5000 0.5000
3 Cd 0.0000 0.0000 0.0000
4 N 0.0000 0.5000 0.0000
5 N 0.5000 0.0000 0.0000

20.
DFT (GGA-PBE) results for a relaxed structure of ScCdS2N.

Uncorrected formation energy ... 0.50 eV per atom
Uncorrected energy ... -21.34 eV/f.u.
Energy above the lowest structure with this stoichiometry ... 573 meV/atom

a = 5.0168 Å, b = 5.0168 Å, c = 4.0846 Å
α = 90.00°, β = 90.00°, γ = 90.00°
Fractional coordinates of all 5 atoms:
1 S 0.5000 0.0000 0.0000
2 S 0.0000 0.5000 0.0000
3 Cd 0.0000 0.0000 0.0000
4 N 0.0000 0.0000 0.5000
5 Sc 0.5000 0.5000 0.5000